Below is a relaxed structure of NbTeC3, with properties calculated at the PBE level.

Lattice parameters (Å, degrees): 4.0791 4.0791 4.0791 90.00 90.00 90.00
With the nearest neighbours (Å) after each atom.
Space group Pm-3m (No. 221)
Unique sites:
Nb: 0.0000 0.0000 0.0000 x1  12 C 2.88
Te: 0.5000 0.5000 0.5000 x1  6 C 2.04
C: 0.0000 0.5000 0.5000 x3  2 Te 2.04

Values from the calculation:
Raw formation energy = 2.70 eV/atom
E = -27.36 eV/f.u.
Relative energy among the computed polymorphs = 610 meV/atom
Total magnetization = 0.0 μB per cell

Below is a relaxed structure of BeAlSn2Bi, with properties calculated at the PBE level.

Lattice parameters (Å, degrees): 4.9566 4.9566 5.1413 90.00 90.00 90.00
With the nearest neighbours (Å) after each atom.
Space group P4/mmm (No. 123)
Unique sites:
Be: 0.0000 0.0000 0.0000 x1  4 Sn 2.48, 2 Bi 2.57
Al: 0.5000 0.5000 0.5000 x1  4 Bi 3.50, 8 Sn 3.57
Sn: 0.0000 0.5000 0.0000 x2  2 Be 2.48
Bi: 0.0000 0.0000 0.5000 x1  2 Be 2.57

Values from the calculation:
E = -16.94 eV/f.u.
Total magnetization = 0.0 μB per cell

Below is a relaxed structure of CaLa2Cu, with properties calculated at the PBE level.

Lattice parameters (Å, degrees): 8.8911 8.8911 6.5594 90.00 90.00 90.00
With the nearest neighbours (Å) after each atom.
Space group I-42d (No. 122)
Unique sites:
Ca: 0.0000 0.0000 0.0000 x4  2 Cu 3.28, 4 La 3.66
La: 0.1859 0.2500 0.6250 x8  2 Cu 2.89
Cu: 0.0000 0.0000 0.5000 x4  4 La 2.89

Values from the calculation:
E = -15.50 eV/f.u.
Relative energy among the computed polymorphs = 145 meV/atom
Total magnetization = 0.0 μB per cell

Below is a relaxed structure of KZn4Au2, with properties calculated at the PBE level.

Lattice parameters (Å, degrees): 8.1078 8.1078 4.1876 90.00 90.00 90.00
With the nearest neighbours (Å) after each atom.
Space group P4_2/mnm (No. 136)
Unique sites:
K: 0.0000 0.0000 0.0000 x2  6 Au 3.14-3.33
Zn: 0.0875 0.3548 0.5000 x8  3 Au 2.66-2.75, 5 Zn 2.75-2.86
Au: 0.2258 0.7742 0.5000 x4  6 Zn 2.66-2.75

Values from the calculation:
E = -14.22 eV/f.u.
Relative energy among the computed polymorphs = 0 meV/atom
Total magnetization = 0.0 μB per cell

Below is a relaxed structure of Tb2TmGaC, with properties calculated at the PBE level.

Lattice parameters (Å, degrees): 4.8937 4.8937 4.7742 90.00 90.00 90.00
With the nearest neighbours (Å) after each atom.
Space group P4/mmm (No. 123)
Unique sites:
Tb: 0.0000 0.5000 0.0000 x2  2 C 2.45
Tm: 0.0000 0.0000 0.5000 x1  2 C 2.39
Ga: 0.5000 0.5000 0.5000 x1  8 Tb 3.42, 4 Tm 3.46
C: 0.0000 0.0000 0.0000 x1  2 Tm 2.39, 4 Tb 2.45

Values from the calculation:
E = -28.24 eV/f.u.
Total magnetization = 0.0 μB per cell

Below is a relaxed structure of YTeOs2, with properties calculated at the PBE level.

Lattice parameters (Å, degrees): 3.3852 3.3852 6.6407 90.00 90.00 90.00
With the nearest neighbours (Å) after each atom.
Space group P4/mmm (No. 123)
Unique sites:
Y: 0.0000 0.0000 0.0000 x1  8 Os 2.97, 2 Te 3.32
Te: 0.0000 0.0000 0.5000 x1  8 Os 2.86
Os: 0.5000 0.5000 0.2650 x2  4 Te 2.86, 4 Y 2.97, 1 Os 3.12

Values from the calculation:
Raw formation energy = 0.37 eV/atom
E = -30.60 eV/f.u.
Total magnetization = 0.0 μB per cell

Below is a relaxed structure of IrAuCl, with properties calculated at the PBE level.

Lattice parameters (Å, degrees): 2.9802 2.9802 12.7684 90.00 90.00 90.00
With the nearest neighbours (Å) after each atom.
Space group I4mm (No. 107)
Unique sites:
Ir: 0.0000 0.0000 0.0000 x2  4 Cl 2.70, 4 Au 2.81, 4 Ir 2.98
Au: 0.0000 0.0000 0.3547 x2  4 Ir 2.81, 4 Au 2.98
Cl: 0.0000 0.0000 0.6316 x2  4 Ir 2.70, 4 Cl 2.98

Values from the calculation:
Raw formation energy = 0.76 eV/atom
E = -11.71 eV/f.u.
Relative energy among the computed polymorphs = 236 meV/atom
Total magnetization = 3.2 μB per cell

Below is a relaxed structure of Ho5Tl2Pd, with properties calculated at the PBE level.

Lattice parameters (Å, degrees): 7.1844 12.5346 4.8177 90.00 90.00 90.00
With the nearest neighbours (Å) after each atom.
Space group Pbam (No. 55)
Unique sites:
Ho: 0.0000 0.0000 0.0000 x2  4 Tl 3.22, 4 Ho 3.51, 2 Pd 3.59
Ho: 0.1277 0.2846 0.0000 x4  1 Pd 2.85, 2 Tl 3.16
Ho: 0.1782 0.5857 0.5000 x4  2 Pd 2.93, 2 Tl 3.19-3.23
Tl: 0.1033 0.8397 0.5000 x4  9 Ho 3.16-3.46
Pd: 0.0000 0.5000 0.0000 x2  6 Ho 2.85-2.93

Values from the calculation:
E = -36.14 eV/f.u.
Total magnetization = 0.0 μB per cell

Below is a relaxed structure of TeP, with properties calculated at the PBE level.

Lattice parameters (Å, degrees): 3.7729 3.7729 3.7609 90.00 90.00 120.00
With the nearest neighbours (Å) after each atom.
Space group P-6m2 (No. 187)
Unique sites:
Te: 0.0000 0.0000 0.0000 x1  6 P 2.88
P: 0.6667 0.3333 0.5000 x1  6 Te 2.88

Values from the calculation:
Raw formation energy = 0.48 eV/atom
E = -7.60 eV/f.u.
Total magnetization = 0.0 μB per cell

Below is a relaxed structure of HoGaS3, with properties calculated at the PBE level.

Lattice parameters (Å, degrees): 3.8701 22.3237 6.3718 90.00 90.00 90.00
With the nearest neighbours (Å) after each atom.
Space group Ama2 (No. 40)
Unique sites:
Ho: 0.2500 0.1754 0.0000 x4  6 S 2.66-2.77
Ga: 0.2500 0.3748 0.9323 x4  4 S 2.25-2.36
S: 0.2500 0.0821 0.2875 x4  2 Ga 2.35
S: 0.2500 0.2800 0.7669 x4  1 Ga 2.36
S: 0.2500 0.3787 0.2855 x4  1 Ga 2.25

Values from the calculation:
Raw formation energy = -1.35 eV/atom
E = -26.76 eV/f.u.
Relative energy among the computed polymorphs = 0 meV/atom
Total magnetization = 0.0 μB per cell

Below is a relaxed structure of NaLi3Au, with properties calculated at the PBE level.

Lattice parameters (Å, degrees): 6.6654 6.6654 6.6654 90.00 90.00 90.00
With the nearest neighbours (Å) after each atom.
Space group Pm-3m (No. 221)
Unique sites:
Na: 0.0000 0.0000 0.5000 x3  10 Li 3.06-3.33, 4 Au 3.33
Li: 0.0000 0.0000 0.0000 x1  6 Na 3.33, 8 Li 3.33
Li: 0.2887 0.2887 0.2887 x8  3 Au 2.77, 3 Li 2.82, 3 Na 3.06
Au: 0.0000 0.5000 0.5000 x3  8 Li 2.77

Values from the calculation:
E = -11.61 eV/f.u.
Relative energy among the computed polymorphs = 0 meV/atom
Total magnetization = 0.0 μB per cell

Below is a relaxed structure of LiBe3Cd, with properties calculated at the PBE level.

Lattice parameters (Å, degrees): 4.4736 4.4736 4.4736 90.00 90.00 90.00
With the nearest neighbours (Å) after each atom.
Space group Pm-3m (No. 221)
Unique sites:
Li: 0.0000 0.0000 0.0000 x1  12 Be 3.16
Be: 0.0000 0.5000 0.5000 x3  2 Cd 2.24
Cd: 0.5000 0.5000 0.5000 x1  6 Be 2.24

Values from the calculation:
E = -9.45 eV/f.u.
Relative energy among the computed polymorphs = 0 meV/atom
Total magnetization = 0.0 μB per cell